[1]
First-principles (GGA-PBE) data for a relaxed structure of Ba3AsCl2, as listed in Alexandria via LeMat-Bulk.

Cell: 6.574 13.932 9.289 Å, 90.00 90.00 90.00°
Fractional positions:
Ba 0.249 0.247 0.377
Ba 0.249 0.253 0.877
Ba 0.250 0.578 0.371
Ba 0.250 0.579 0.884
Ba 0.250 0.921 0.384
Ba 0.250 0.922 0.871
Ba 0.750 0.078 0.129
Ba 0.750 0.079 0.616
Ba 0.750 0.421 0.116
Ba 0.750 0.422 0.629
Ba 0.751 0.747 0.123
Ba 0.751 0.753 0.623
As 0.250 0.085 0.636
As 0.250 0.415 0.136
As 0.750 0.585 0.864
As 0.750 0.915 0.364
Cl 0.250 0.083 0.123
Cl 0.250 0.417 0.623
Cl 0.251 0.748 0.126
Cl 0.251 0.752 0.626
Cl 0.749 0.248 0.374
Cl 0.749 0.252 0.874
Cl 0.750 0.583 0.377
Cl 0.750 0.917 0.877

Output
Raw formation energy ... -1.73 eV per atom

=====

[2]
First-principles (GGA-PBE) data for a relaxed structure of RbNbAsBr2, as listed in Alexandria via LeMat-Bulk.

Cell: 6.085 6.085 6.200 Å, 90.00 90.00 90.00°
Fractional positions:
Rb 0.000 0.000 0.000
Nb 0.500 0.500 0.500
As 0.000 0.000 0.500
Br 0.000 0.500 0.000
Br 0.500 0.000 0.000

Output
Polymorph energy (0 for the lowest one) ... 1716.0 meV/atom
Raw formation energy ... 1.09 eV per atom

=====

[3]
First-principles (GGA-PBE) data for a relaxed structure of MgPO2F, as listed in Alexandria via LeMat-Bulk.

Cell: 3.952 3.952 3.596 Å, 90.00 90.00 90.00°
Fractional positions:
Mg 0.000 0.000 0.000
P 0.500 0.500 0.500
O 0.000 0.500 0.000
O 0.500 0.000 0.000
F 0.000 0.000 0.500

Output
Raw formation energy ... -0.92 eV per atom

=====

[4]
First-principles (GGA-PBE) data for a relaxed structure of InPHO2, as listed in Alexandria via LeMat-Bulk.

Cell: 4.220 4.220 3.043 Å, 90.00 90.00 90.00°
Fractional positions:
In 0.000 0.000 0.000
P 0.500 0.500 0.000
H 0.500 0.500 0.500
O 0.000 0.500 0.500
O 0.500 0.000 0.500

Output
Polymorph energy (0 for the lowest one) ... 0.0 meV/atom

=====

> What is the formula in the fourth record?

InPHO2